LuAlB4: optimized geometry, GGA-PBE.

The calculation puts the density of states at the Fermi level at 0.15 states/eV per atom. For the total energy, the calculation gives -6.326 eV/atom. The value obtained for the total magnetic moment is 0.00 μB per formula unit. For the formation enthalpy at 0 K, the calculation gives -497.1 meV/atom.

The space group is Pbam (No. 55) and the conventional cell measures 5.9053, 11.4419 and 3.5027 Å, with angles of 90.00, 90.00 and 90.00 degrees. The distinct sites, in fractional coordinates, are Lu at (0.1301, 0.1499, 0.0000), Al at (0.1385, 0.4102, 0.0000), B at (0.0252, 0.6934, 0.5000), B at (0.1146, 0.5475, 0.5000), B at (0.1327, 0.9693, 0.5000) and B at (0.2084, 0.8127, 0.5000).